(1)
Below is a geometry-optimized BaNb2Se structure, with properties calculated at the PBE level.

Calculated values
energy relative to the elements, uncorrected: 0.26 eV/atom
space-group type: I-42d (122)
VASP energy: -6.1273 eV/atom
DOS(E_F): 11.49 states/eV/cell

Cell lengths 4.711, 4.711, 19.732 Å; angles 90.00, 90.00, 90.00 degrees
Sites, in units of the cell vectors:
Ba  0.000  0.000  0.000
Ba  0.000  0.500  0.250
Ba  0.500  0.000  0.750
Ba  0.500  0.500  0.500
Nb  0.085  0.250  0.625
Nb  0.250  0.585  0.875
Nb  0.250  0.915  0.375
Nb  0.415  0.250  0.125
Nb  0.585  0.750  0.125
Nb  0.750  0.085  0.375
Nb  0.750  0.415  0.875
Nb  0.915  0.750  0.625
Se  0.000  0.000  0.500
Se  0.000  0.500  0.750
Se  0.500  0.000  0.250
Se  0.500  0.500  0.000

=====

(2)
Below is a geometry-optimized CeZn3 structure, with properties calculated at the PBE level.

Calculated values
energy of formation: -0.059 eV/atom
space-group type: Pm-3m (221)
VASP energy: -2.4976 eV/atom
DOS(E_F): 9.55 states/eV/cell

Cell lengths 4.364, 4.364, 4.364 Å; angles 90.00, 90.00, 90.00 degrees
Sites, in units of the cell vectors:
Ce  0.000  0.000  0.000
Zn  0.000  0.500  0.500
Zn  0.500  0.000  0.500
Zn  0.500  0.500  0.000

=====

(3)
Below is a geometry-optimized Sr3Li2Nb4O13 structure, with properties calculated at the PBE level.

Calculated values
energy relative to the elements, uncorrected: -2.70 eV/atom
space-group type: I4/mmm (139)
VASP energy: -7.8599 eV/atom
DOS(E_F): 2.81 states/eV/cell

Cell lengths 17.603, 17.603, 17.603 Å; angles 166.78, 166.78, 18.73 degrees
Sites, in units of the cell vectors:
Sr  0.000  0.000  0.000
Sr  0.123  0.123  0.000
Sr  0.877  0.877  0.000
Li  0.250  0.750  0.500
Li  0.750  0.250  0.500
Nb  0.320  0.320  0.000
Nb  0.441  0.441  0.000
Nb  0.559  0.559  0.000
Nb  0.680  0.680  0.000
O  0.058  0.558  0.500
O  0.173  0.673  0.500
O  0.266  0.266  0.000
O  0.327  0.827  0.500
O  0.383  0.383  0.000
O  0.442  0.942  0.500
O  0.500  0.500  0.000
O  0.558  0.058  0.500
O  0.617  0.617  0.000
O  0.673  0.173  0.500
O  0.734  0.734  0.000
O  0.827  0.327  0.500
O  0.942  0.442  0.500